Version a
This record from the Alexandria database describes an optimized crystal structure of LaNd6Mg2. The functional is PBE.

total magnetic moment	0.0	Bohr magnetons per cell

```
data_LaNd6Mg2
_symmetry_space_group_name_H-M 'C 1 2/c 1'
_symmetry_Int_Tables_number 15
_symmetry_space_group_name_Hall '-C 2yc'
_cell_length_a 16.893
_cell_length_b 11.838
_cell_length_c 5.983
_cell_angle_alpha 90.00
_cell_angle_beta 98.49
_cell_angle_gamma 90.00
loop_
_atom_site_label
_atom_site_type_symbol
_atom_site_fract_x
_atom_site_fract_y
_atom_site_fract_z
La1 La 0.000 0.159 0.250
Nd1 Nd 0.062 0.392 0.539
Nd2 Nd 0.111 0.111 0.796
Nd3 Nd 0.234 0.116 0.354
Mg1 Mg 0.161 0.362 0.093
```

Version b
This record from the Alexandria database describes an optimized crystal structure of LaNd6Mg2. The functional is PBE.

total magnetic moment	0.0	Bohr magnetons per cell

```
data_LaNd6Mg2
_symmetry_space_group_name_H-M 'C 1 2/m 1'
_symmetry_Int_Tables_number 12
_symmetry_space_group_name_Hall '-C 2y'
_cell_length_a 13.084
_cell_length_b 3.891
_cell_length_c 12.358
_cell_angle_alpha 90.00
_cell_angle_beta 108.09
_cell_angle_gamma 90.00
loop_
_atom_site_label
_atom_site_type_symbol
_atom_site_fract_x
_atom_site_fract_y
_atom_site_fract_z
La1 La 0.000 0.000 0.000
Nd1 Nd 0.018 0.000 0.340
Nd2 Nd 0.181 0.500 0.877
Nd3 Nd 0.186 0.500 0.584
Mg1 Mg 0.153 0.500 0.212
```

Most favorable structure: version b. The second most favorable one is 73 meV/atom above it.